Entry 1:
Computed, not measured: a relaxed structure of ScTiV2Tc at the GGA-PBE level of DFT.

Calculated values
Density of states at the Fermi level = 7.131 states/eV per cell
E_form = 0.623 eV per atom

Cell: 4.5708 4.5708 4.6870 Å, 90.00 90.00 90.00°
Element x y z (fractional)
Sc: 0.0000 0.0000 0.0000
Ti: 0.5000 0.5000 0.0000
V: 0.0000 0.5000 0.5000
V: 0.5000 0.0000 0.5000
Tc: 0.5000 0.5000 0.5000

---

Entry 2:
Computed, not measured: a relaxed structure of Li2Al5Pt3 at the GGA-PBE level of DFT.

Calculated values
Density of states at the Fermi level = 6.663 states/eV per cell
E_form = -0.733 eV per atom

Cell: 7.7487 7.7487 5.4051 Å, 93.78 93.78 103.93°
Element x y z (fractional)
Li: 0.1169 0.6416 0.8990
Li: 0.3584 0.8831 0.6010
Li: 0.6416 0.1169 0.3990
Li: 0.8831 0.3584 0.1010
Al: 0.0342 0.9658 0.7500
Al: 0.2085 0.5274 0.4243
Al: 0.2195 0.3121 0.9787
Al: 0.3121 0.2195 0.4787
Al: 0.4726 0.7915 0.0757
Al: 0.5274 0.2085 0.9243
Al: 0.6879 0.7805 0.5213
Al: 0.7805 0.6879 0.0213
Al: 0.7915 0.4726 0.5757
Al: 0.9658 0.0342 0.2500
Pt: 0.0039 0.7316 0.3926
Pt: 0.2684 0.9961 0.1074
Pt: 0.4860 0.5140 0.7500
Pt: 0.5140 0.4860 0.2500
Pt: 0.7316 0.0039 0.8926
Pt: 0.9961 0.2684 0.6074